Below is an optimized crystal structure of Ca4HgPd4, with properties calculated at the GGA-PBE level.

Lattice parameters (Å, degrees): 8.950 8.950 5.773 90.00 90.00 90.00
Space group P4_2/n (No. 86, origin choice 2)
Unique sites:
Ca 0.048 0.821 0.117 (multiplicity 8)
Hg 0.250 0.250 0.250 (multiplicity 2)
Pd 0.009 0.871 0.614 (multiplicity 8)

Summary:
uncorrected energy: -3.72 eV per atom
V: 25.69 Å³ per atom
energy of formation: -0.491 eV per atom
M_tot: 0.000 μB per formula unit

Below is an optimized crystal structure of Ca4Hg5Pd2, with properties calculated at the GGA-PBE level.

Lattice parameters (Å, degrees): 7.690 3.770 9.697 90.00 94.53 90.00
Space group P2/m (No. 10)
Unique sites:
Ca 0.185 0.000 0.358 (multiplicity 2)
Ca 0.230 0.000 0.936 (multiplicity 2)
Hg 0.167 0.500 0.649 (multiplicity 2)
Hg 0.448 0.500 0.172 (multiplicity 2)
Hg 0.500 0.500 0.500 (multiplicity 1)
Pd 0.072 0.500 0.138 (multiplicity 2)

Summary:
uncorrected energy: -2.36 eV per atom
V: 25.48 Å³ per atom
energy of formation: -0.550 eV per atom
M_tot: 0.000 μB per formula unit